Density functional theory data (GGA-PBE) for a relaxed GeBiOsAu crystal.

Cell: 6.767 6.767 6.767 Å, 90.00 90.00 90.00°
Positions (direct):
Ge 0.000 0.000 0.000
Ge 0.000 0.500 0.500
Ge 0.500 0.000 0.500
Ge 0.500 0.500 0.000
Bi 0.000 0.000 0.500
Bi 0.000 0.500 0.000
Bi 0.500 0.000 0.000
Bi 0.500 0.500 0.500
Os 0.250 0.250 0.250
Os 0.250 0.750 0.750
Os 0.750 0.250 0.750
Os 0.750 0.750 0.250
Au 0.250 0.250 0.750
Au 0.250 0.750 0.250
Au 0.750 0.250 0.250
Au 0.750 0.750 0.750

Summary:
Total energy = -5.086 eV/atom
Space-group type = F-43m, No. 216


Density functional theory data (GGA-PBE) for a relaxed HfBiAu2 crystal.

Cell: 6.988 6.988 6.988 Å, 90.00 90.00 90.00°
Positions (direct):
Hf 0.000 0.000 0.000
Hf 0.000 0.500 0.500
Hf 0.500 0.000 0.500
Hf 0.500 0.500 0.000
Bi 0.250 0.250 0.750
Bi 0.250 0.750 0.250
Bi 0.750 0.250 0.250
Bi 0.750 0.750 0.750
Au 0.000 0.000 0.500
Au 0.000 0.500 0.000
Au 0.250 0.250 0.250
Au 0.250 0.750 0.750
Au 0.500 0.000 0.000
Au 0.500 0.500 0.500
Au 0.750 0.250 0.750
Au 0.750 0.750 0.250

Summary:
Total energy = -5.128 eV/atom
Space-group type = F-43m, No. 216


Density functional theory data (GGA-PBE) for a relaxed Hf2Bi2Au crystal.

Cell: 4.357 4.357 13.409 Å, 90.00 90.00 90.00°
Positions (direct):
Hf 0.000 0.000 0.097
Hf 0.000 0.000 0.903
Hf 0.500 0.500 0.403
Hf 0.500 0.500 0.597
Bi 0.000 0.500 0.250
Bi 0.000 0.500 0.750
Bi 0.500 0.000 0.250
Bi 0.500 0.000 0.750
Au 0.000 0.000 0.500
Au 0.500 0.500 0.000

Summary:
Total energy = -5.856 eV/atom
Space-group type = I4/mmm, No. 139


| no. | magnetization (μB per formula unit) |
| --- | --- |
| 1 | 0.131 |
| 2 | 0.412 |
| 3 | 0.013 |